# Sr2GaPt PBE-GGA optimized geometry
data_Sr2GaPt
_chemical_formula_sum 'Sr4 Ga2 Pt2'
_cell_length_a 7.707
_cell_length_b 4.451
_cell_length_c 8.326
_cell_angle_alpha 90.00
_cell_angle_beta 108.06
_cell_angle_gamma 90.00
_space_group_name_H-M_alt 'P 1'
_space_group_IT_number 1
loop_
_space_group_symop_operation_xyz
'x,y,z'
loop_
_atom_site_label
_atom_site_type_symbol
_atom_site_fract_x
_atom_site_fract_y
_atom_site_fract_z
Sr1 Sr 0.000 0.000 0.000
Sr2 Sr 0.170 0.000 0.509
Sr3 Sr 0.500 0.500 0.000
Sr4 Sr 0.670 0.500 0.509
Ga1 Ga 0.419 0.000 0.255
Ga2 Ga 0.919 0.500 0.255
Pt1 Pt 0.252 0.500 0.255
Pt2 Pt 0.752 0.000 0.255
# E = -30.39 eV/cell
# formation enthalpy at 0 K = -0.6913 eV per atom
# total magnetic moment = 0.0 μB/f.u.
# symmetry = Cm, No. 8
# V = 272 Å³ per cell